Entry 1:
First-principles (PBE) data for GaNi2 after structural relaxation, as listed in Alexandria.

Cell lengths 4.402, 4.402, 4.520 Å; angles 100.08, 100.08, 120.01 degrees
Positions (direct):
Ga  0.100  0.900  0.750
Ga  0.900  0.100  0.250
Ni  0.243  0.757  0.250
Ni  0.426  0.574  0.750
Ni  0.574  0.426  0.250
Ni  0.757  0.243  0.750

Space group: No. 15
Volume: 71.05 Å³/cell
Energy of formation: -0.29 eV/atom
DFT total energy: -30.91 eV per cell

---

Entry 2:
First-principles (PBE) data for CsIr2F after structural relaxation, as listed in Alexandria.

Cell lengths 4.672, 4.672, 4.672 Å; angles 60.00, 60.00, 60.00 degrees
Positions (direct):
Cs  0.000  0.000  0.000
Ir  0.250  0.250  0.250
Ir  0.750  0.750  0.750
F  0.500  0.500  0.500

Space group: No. 225
Raw formation energy: 1.642 eV per atom
Volume: 72.13 Å³/cell
DFT total energy: -13.88 eV per cell

---

Entry 3:
First-principles (PBE) data for BaZnAsP after structural relaxation, as listed in Alexandria.

Cell lengths 5.932, 5.932, 5.932 Å; angles 136.90, 134.28, 64.64 degrees
Positions (direct):
Ba  0.000  0.000  0.000
Zn  0.740  0.240  0.500
As  0.375  0.375  0.000
P  0.611  0.611  0.000

Space group: No. 44
Volume: 100.69 Å³/cell
Energy of formation: -0.56 eV/atom
DFT total energy: -15.50 eV per cell

---

Entry 4:
First-principles (PBE) data for Li2Ge3O8 after structural relaxation, as listed in Alexandria.

Cell lengths 7.978, 7.978, 5.096 Å; angles 103.79, 103.79, 97.24 degrees
Positions (direct):
Li  0.055  0.945  0.750
Li  0.342  0.658  0.750
Li  0.658  0.342  0.250
Li  0.945  0.055  0.250
Ge  0.204  0.796  0.250
Ge  0.219  0.371  0.106
Ge  0.371  0.219  0.606
Ge  0.629  0.781  0.394
Ge  0.781  0.629  0.894
Ge  0.796  0.204  0.750
O  0.037  0.194  0.954
O  0.113  0.723  0.518
O  0.194  0.037  0.454
O  0.194  0.567  0.021
O  0.277  0.887  0.982
O  0.301  0.399  0.475
O  0.399  0.301  0.975
O  0.433  0.806  0.479
O  0.567  0.194  0.521
O  0.601  0.699  0.025
O  0.699  0.601  0.525
O  0.723  0.113  0.018
O  0.806  0.433  0.979
O  0.806  0.963  0.546
O  0.887  0.277  0.482
O  0.963  0.806  0.046

Space group: No. 15
Raw formation energy: -1.464 eV per atom
Volume: 300.17 Å³/cell
DFT total energy: -152.76 eV per cell

---

Entry 5:
First-principles (PBE) data for MoAsBr2 after structural relaxation, as listed in Alexandria.

Cell lengths 11.477, 11.477, 11.477 Å; angles 16.00, 16.00, 16.00 degrees
Positions (direct):
Mo  0.000  0.000  0.000
As  0.500  0.500  0.500
Br  0.388  0.388  0.388
Br  0.612  0.612  0.612

Space group: No. 166
Offset from the most stable computed form: 184 kJ/mol of formula units
Raw formation energy: 0.301 eV per atom
Volume: 100.17 Å³/cell
DFT total energy: -17.62 eV per cell

---

Entry 6:
First-principles (PBE) data for ZrHg2Sb after structural relaxation, as listed in Alexandria.

Cell lengths 4.280, 4.280, 5.009 Å; angles 90.00, 90.00, 90.00 degrees
Positions (direct):
Zr  0.000  0.000  0.000
Hg  0.000  0.500  0.500
Hg  0.500  0.000  0.500
Sb  0.500  0.500  0.000

Space group: No. 123
Raw formation energy: -0.104 eV per atom
Volume: 91.75 Å³/cell
DFT total energy: -13.69 eV per cell

---

Entry 7:
First-principles (PBE) data for HfTa after structural relaxation, as listed in Alexandria.

Cell lengths 3.417, 3.417, 3.417 Å; angles 90.00, 90.00, 90.00 degrees
Positions (direct):
Hf  0.000  0.000  0.000
Ta  0.500  0.500  0.500

Space group: No. 221
Volume: 39.89 Å³/cell
Energy of formation: 0.19 eV/atom
DFT total energy: -21.43 eV per cell

---

Entry 8:
First-principles (PBE) data for GaBr4 after structural relaxation, as listed in Alexandria.

Cell lengths 5.225, 5.225, 5.225 Å; angles 90.00, 90.00, 90.00 degrees
Positions (direct):
Ga  0.000  0.000  0.000
Br  0.000  0.000  0.500
Br  0.000  0.500  0.000
Br  0.500  0.000  0.000
Br  0.500  0.500  0.500

Space group: No. 221
Raw formation energy: -0.112 eV per atom
Volume: 142.63 Å³/cell
DFT total energy: -10.28 eV per cell

---

What did the second record say?
First-principles (PBE) data for CsIr2F after structural relaxation, as listed in Alexandria.

Cell lengths 4.672, 4.672, 4.672 Å; angles 60.00, 60.00, 60.00 degrees
Positions (direct):
Cs  0.000  0.000  0.000
Ir  0.250  0.250  0.250
Ir  0.750  0.750  0.750
F  0.500  0.500  0.500

Space group: No. 225
Raw formation energy: 1.642 eV per atom
Volume: 72.13 Å³/cell
DFT total energy: -13.88 eV per cell

---

Please write out number 4 again, unchanged.
First-principles (PBE) data for Li2Ge3O8 after structural relaxation, as listed in Alexandria.

Cell lengths 7.978, 7.978, 5.096 Å; angles 103.79, 103.79, 97.24 degrees
Positions (direct):
Li  0.055  0.945  0.750
Li  0.342  0.658  0.750
Li  0.658  0.342  0.250
Li  0.945  0.055  0.250
Ge  0.204  0.796  0.250
Ge  0.219  0.371  0.106
Ge  0.371  0.219  0.606
Ge  0.629  0.781  0.394
Ge  0.781  0.629  0.894
Ge  0.796  0.204  0.750
O  0.037  0.194  0.954
O  0.113  0.723  0.518
O  0.194  0.037  0.454
O  0.194  0.567  0.021
O  0.277  0.887  0.982
O  0.301  0.399  0.475
O  0.399  0.301  0.975
O  0.433  0.806  0.479
O  0.567  0.194  0.521
O  0.601  0.699  0.025
O  0.699  0.601  0.525
O  0.723  0.113  0.018
O  0.806  0.433  0.979
O  0.806  0.963  0.546
O  0.887  0.277  0.482
O  0.963  0.806  0.046

Space group: No. 15
Raw formation energy: -1.464 eV per atom
Volume: 300.17 Å³/cell
DFT total energy: -152.76 eV per cell

---

What is the formula in the second record?
CsIr2F